No. 1
CoCu2Ag after structural relaxation. Source: Alexandria via LeMat-Bulk, functional GGA-PBE.

Summary:
Its formation energy is 0.264 eV/atom. Its distance to the lowest polymorph of the same formula is 0.0713 eV per atom. The calculation puts the density of states at the Fermi level at 4.05 states/eV/cell. Its space-group type is Pmm2.

Geometry as extended XYZ:
```
4
Lattice="2.654 0.000 0.000 0.000 3.628 0.000 0.000 0.000 5.531" Properties=species:S:1:pos:R:3 pbc="T T T"
Ag 0.000 0.000 2.770
Co 1.327 1.814 4.294
Cu 0.000 0.000 5.505
Cu 1.327 1.814 1.258
```

---

No. 2
Co3CuAg after structural relaxation. Source: Alexandria via LeMat-Bulk, functional GGA-PBE.

Summary:
Its formation energy is 1.878 eV/atom. Its distance to the lowest polymorph of the same formula is 0.6358 eV per atom. The calculation puts the density of states at the Fermi level at 12.09 states/eV/cell. Its space-group type is Pm-3m.

Geometry as extended XYZ:
```
5
Lattice="-0.504 1.377 4.385 1.800 -4.000 1.463 4.229 1.866 -0.100" Properties=species:S:1:pos:R:3 pbc="T T T"
Co 0.900 -2.000 0.732
Co 2.115 0.933 -0.050
Co -0.252 0.689 2.193
Cu 2.763 -0.378 2.874
Ag 0.000 0.000 0.000
```

---

No. 3
CoCuAg2 after structural relaxation. Source: Alexandria via LeMat-Bulk, functional GGA-PBE.

Summary:
Its formation energy is 0.374 eV/atom. Its distance to the lowest polymorph of the same formula is 0.1333 eV per atom. The calculation puts the density of states at the Fermi level at 5.32 states/eV/cell. Its space-group type is I-4m2.

Geometry as extended XYZ:
```
4
Lattice="4.779 -0.005 0.000 1.581 4.510 0.000 -3.180 -2.252 2.767" Properties=species:S:1:pos:R:3 pbc="T T T"
Ag 0.000 0.000 0.000
Ag 0.790 2.255 1.383
Co 3.180 2.252 0.000
Cu 2.390 -0.003 1.383
```